NiBiP2O after structural relaxation, computed with PBE+U.

Cell lengths 5.3069, 5.3069, 4.1392 Å; angles 90.00, 90.00, 90.00 degrees
Last column: nearest neighbours and their distance in Å.
Space group P4/mmm (No. 123)
One atom of each set of equivalent atoms:
Ni1 0.0000 0.0000 0.0000  8 P 3.37, 4 O 3.75
Bi1 0.5000 0.5000 0.5000  2 O 2.07
P1 0.0000 0.5000 0.5000  2 Bi 2.65
O1 0.5000 0.5000 0.0000  2 Bi 2.07

Results
- Density: 4.9 Mg/m³
- Calculated total energy: -3.353 eV/atom
- ΔE to the lowest computed polymorph: 0.748 eV/atom